1.
A plane-wave DFT calculation with PBE was carried out for a relaxed Ba3Hf2O6 crystal.

Values from the calculation:
crystal system	tetragonal
formation energy without anion corrections	-32.35	eV/f.u.
energy	-87.8	eV for the cell shown

Cell lengths 11.4959, 11.4959, 11.4959 Å; angles 159.01, 159.01, 29.86 degrees
Atoms (fractional coordinates):
Ba: 0.0000 0.0000 0.0000
Ba: 0.1859 0.1859 0.0000
Ba: 0.8141 0.8141 0.0000
Hf: 0.4012 0.4012 0.0000
Hf: 0.5988 0.5988 0.0000
O: 0.0962 0.5962 0.5000
O: 0.3083 0.3083 0.0000
O: 0.4038 0.9038 0.5000
O: 0.5962 0.0962 0.5000
O: 0.6917 0.6917 0.0000
O: 0.9038 0.4038 0.5000

2.
A plane-wave DFT calculation with PBE was carried out for a relaxed Tb3PrTm4 crystal.

Values from the calculation:
crystal system	orthorhombic
energy	-72.9	eV for the cell shown
DFT formation energy	12.9	meV/atom

Cell lengths 11.2599, 7.2485, 6.2527 Å; angles 90.00, 90.00, 90.00 degrees
Atoms (fractional coordinates):
Tb: 0.0000 0.1280 0.0000
Tb: 0.2499 0.1282 0.3358
Tb: 0.2501 0.8718 0.8358
Tb: 0.5000 0.8720 0.5000
Tb: 0.7501 0.1282 0.3358
Tb: 0.7499 0.8718 0.8358
Pr: 0.0000 0.8733 0.5008
Pr: 0.5000 0.1267 0.0008
Tm: 0.0000 0.3780 0.5021
Tm: 0.0000 0.6214 0.0018
Tm: 0.2485 0.3780 0.8350
Tm: 0.2515 0.6220 0.3350
Tm: 0.5000 0.3786 0.5018
Tm: 0.5000 0.6220 0.0021
Tm: 0.7485 0.6220 0.3350
Tm: 0.7515 0.3780 0.8350

3.
A plane-wave DFT calculation with PBE was carried out for a relaxed Sr2CaZn2Sn2 crystal.

Values from the calculation:
crystal system	trigonal
energy	-18.8	eV for the cell shown
DFT formation energy	-413.4	meV/atom

Cell lengths 12.5074, 12.5074, 12.5074 Å; angles 21.26, 21.26, 21.26 degrees
Atoms (fractional coordinates):
Sr: 0.1172 0.1172 0.1172
Sr: 0.8828 0.8828 0.8828
Ca: 0.0000 0.0000 0.0000
Zn: 0.3832 0.3832 0.3832
Zn: 0.6168 0.6168 0.6168
Sn: 0.2762 0.2762 0.2762
Sn: 0.7238 0.7238 0.7238

4.
A plane-wave DFT calculation with PBE was carried out for a relaxed SrOs2Cl crystal.

Values from the calculation:
crystal system	monoclinic
formation energy without anion corrections	1.36	eV/f.u.
energy	-24.6	eV for the cell shown

Cell lengths 3.1367, 6.3556, 4.3443 Å; angles 90.00, 90.58, 90.00 degrees
Atoms (fractional coordinates):
Sr: 0.0000 0.0000 0.0000
Os: 0.3188 0.5000 0.2470
Os: 0.6812 0.5000 0.7530
Cl: 0.5000 0.0000 0.5000